This record from OQMD describes a relaxed structure of CdCoSbIr. The functional is PBE-GGA.

abc: 4.537 4.537 4.537
angles: 60.00 60.00 60.00
Each line ends with the local moment (μB).
Fractional coordinates of all 4 atoms:
Cd 0.500 0.500 0.500  -0.02
Co 0.750 0.750 0.750  1.15
Ir 0.250 0.250 0.250  0.22
Sb 0.000 0.000 0.000  0.00

Output
distance to the lowest polymorph of the same formula: 0 meV/atom
space group: No. 216
magnetic moment: 0.32 μB per atom

***

This record from OQMD describes a relaxed structure of CdCoSiIr. The functional is PBE-GGA.

abc: 4.301 4.301 4.301
angles: 60.00 60.00 60.00
Each line ends with the local moment (μB).
Fractional coordinates of all 4 atoms:
Cd 0.500 0.500 0.500  -0.02
Co 0.750 0.750 0.750  0.54
Ir 0.250 0.250 0.250  0.03
Si 0.000 0.000 0.000  -0.01

Output
distance to the lowest polymorph of the same formula: 0 meV/atom
space group: No. 216
magnetic moment: 0.12 μB per atom

***

This record from OQMD describes a relaxed structure of CdCoSnIr. The functional is PBE-GGA.

abc: 4.515 4.515 4.515
angles: 60.00 60.00 60.00
Each line ends with the local moment (μB).
Fractional coordinates of all 4 atoms:
Cd 0.500 0.500 0.500  -0.02
Co 0.750 0.750 0.750  0.79
Ir 0.250 0.250 0.250  0.04
Sn 0.000 0.000 0.000  -0.03

Output
distance to the lowest polymorph of the same formula: 0 meV/atom
space group: No. 216
magnetic moment: 0.18 μB per atom

***

This record from OQMD describes a relaxed structure of La4Cd3Co2. The functional is PBE-GGA.

abc: 7.697 3.791 8.366
angles: 90.00 109.79 90.00
Fractional coordinates of all 9 atoms:
Cd 0.000 0.000 0.000
Cd 0.300 0.000 0.499
Cd 0.700 0.000 0.501
Co 0.661 0.000 0.114
Co 0.339 0.000 0.886
La 0.398 0.500 0.182
La 0.904 0.500 0.280
La 0.096 0.500 0.720
La 0.602 0.500 0.818

Output
energy of formation from the pure elements: -278 meV per atom
space group: No. 10
magnetic moment: 0.00 μB per atom

***

This record from OQMD describes a relaxed structure of La2Mg3CdCo2. The functional is PBE-GGA.

abc: 5.393 5.393 8.017
angles: 90.10 90.10 48.51
Fractional coordinates of all 8 atoms:
Cd 0.153 0.153 0.449
Co 0.700 0.700 0.245
Co 0.302 0.302 0.751
La 0.456 0.456 0.252
La 0.546 0.546 0.751
Mg 0.160 0.160 0.055
Mg 0.840 0.840 0.551
Mg 0.842 0.842 0.947

Output
space group: No. 8
magnetic moment: 0.00 μB per atom
total DFT energy (no corrections): -3.8289 eV/atom

***

This record from OQMD describes a relaxed structure of LiCdCo2. The functional is PBE-GGA.

abc: 4.189 4.189 4.189
angles: 60.00 60.00 60.00
Each line ends with the local moment (μB).
Fractional coordinates of all 4 atoms:
Cd 0.250 0.250 0.250  -0.05
Co 0.000 0.000 0.000  1.45
Co 0.750 0.750 0.750  1.67
Li 0.500 0.500 0.500  -0.03

Output
space group: No. 216
magnetic moment: 0.73 μB per atom
total DFT energy (no corrections): -4.0538 eV/atom

***

This record from OQMD describes a relaxed structure of LiCdCoMo. The functional is PBE-GGA.

abc: 4.265 4.265 4.265
angles: 60.00 60.00 60.00
Fractional coordinates of all 4 atoms:
Cd 0.500 0.500 0.500
Co 0.250 0.250 0.250
Li 0.750 0.750 0.750
Mo 0.000 0.000 0.000

Output
distance to the lowest polymorph of the same formula: 0 meV/atom
space group: No. 216
magnetic moment: 0.00 μB per atom

***

This record from OQMD describes a relaxed structure of LiCdCoMo. The functional is PBE-GGA.

abc: 4.359 4.359 4.359
angles: 60.00 60.00 60.00
Fractional coordinates of all 4 atoms:
Cd 0.000 0.000 0.000
Co 0.500 0.500 0.500
Li 0.750 0.750 0.750
Mo 0.250 0.250 0.250

Output
distance to the lowest polymorph of the same formula: 179 meV/atom
space group: No. 216
magnetic moment: 0.00 μB per atom

***

This record from OQMD describes a relaxed structure of LiCdCoSi. The functional is PBE-GGA.

abc: 4.239 4.239 4.239
angles: 60.00 60.00 60.00
Each line ends with the local moment (μB).
Fractional coordinates of all 4 atoms:
Cd 0.250 0.250 0.250  0.00
Co 0.750 0.750 0.750  0.51
Li 0.500 0.500 0.500  0.00
Si 0.000 0.000 0.000  0.00

Output
distance to the lowest polymorph of the same formula: 107 meV/atom
space group: No. 216
magnetic moment: 0.13 μB per atom

***

This record from OQMD describes a relaxed structure of LiCdCoSi. The functional is PBE-GGA.

abc: 4.235 4.235 4.235
angles: 60.00 60.00 60.00
Fractional coordinates of all 4 atoms:
Cd 0.500 0.500 0.500
Co 0.750 0.750 0.750
Li 0.250 0.250 0.250
Si 0.000 0.000 0.000

Output
distance to the lowest polymorph of the same formula: 0 meV/atom
space group: No. 216
magnetic moment: 0.00 μB per atom

***

This record from OQMD describes a relaxed structure of Li4CdCoSn2. The functional is PBE-GGA.

abc: 4.474 4.474 6.605
angles: 90.00 90.00 90.00
Each line ends with the local moment (μB).
Fractional coordinates of all 8 atoms:
Cd 0.000 0.000 0.000  0.01
Co 0.500 0.500 0.500  0.43
Li 0.500 0.500 0.000  0.00
Li 0.500 0.000 0.270  0.00
Li 0.000 0.000 0.500  0.00
Li 0.000 0.500 0.730  0.00
Sn 0.000 0.500 0.289  0.00
Sn 0.500 0.000 0.711  -0.01

Output
space group: No. 115
magnetic moment: 0.06 μB per atom
total DFT energy (no corrections): -3.2103 eV/atom

***

This record from OQMD describes a relaxed structure of LiCdCoTe. The functional is PBE-GGA.

abc: 4.567 4.567 4.567
angles: 60.00 60.00 60.00
Fractional coordinates of all 4 atoms:
Cd 0.000 0.000 0.000
Co 0.250 0.250 0.250
Li 0.750 0.750 0.750
Te 0.500 0.500 0.500

Output
distance to the lowest polymorph of the same formula: 0 meV/atom
space group: No. 216
magnetic moment: 0.00 μB per atom